No. 1
# Ca3Mg7In4

A relaxed Ca3Mg7In4 crystal (PBE-GGA, Alexandria).

```
Ca3Mg7In4
1.0
-0.809 2.402 4.055
-4.902 -5.574 5.144
5.885 -3.877 6.291
Mg In Ca
7 4 3
Cartesian
2.836 -3.745 11.244 Mg
3.408 -3.120 8.168 Mg
-1.327 -5.838 8.833 Mg
1.501 -1.211 6.657 Mg
-2.662 -3.304 4.246 Mg
-3.234 -3.929 7.322 Mg
0.000 0.000 0.000 Mg
-1.331 -1.841 6.465 In
3.380 -2.853 5.184 In
1.505 -5.208 9.025 In
-3.206 -4.196 10.306 In
0.491 -4.726 5.717 Ca
0.119 -5.890 11.973 Ca
0.055 -1.159 3.517 Ca
```

Output
As for the density of states at the Fermi level: 0.48 states/eV/atom. The value obtained for the energy of formation is -0.229 eV/atom. The calculated volume is 369.2 Å³ per cell.

No. 2
# Ca2MgIn2

A relaxed Ca2MgIn2 crystal (PBE-GGA, Alexandria).

```
Ca2MgIn2
1.0
-1.113 2.883 3.681
-2.559 -3.543 2.001
3.827 -2.494 6.248
In Ca Mg
2 2 1
Cartesian
-0.735 -0.751 3.504 In
0.890 -2.403 8.427 In
0.439 0.029 6.385 Ca
-0.284 -3.183 5.545 Ca
0.000 0.000 0.000 Mg
```

Output
As for the density of states at the Fermi level: 0.62 states/eV/atom. The value obtained for the energy of formation is -0.002 eV/atom. The calculated volume is 160.6 Å³ per cell.

No. 3
# Ca2MgIn9

A relaxed Ca2MgIn9 crystal (PBE-GGA, Alexandria).

```
Ca2MgIn9
1.0
4.697 0.000 0.000
0.000 4.697 0.000
0.000 0.000 14.123
In Ca Mg
9 2 1
Cartesian
2.348 2.348 9.332 In
0.000 2.348 2.258 In
2.348 0.000 7.061 In
2.348 2.348 0.000 In
0.000 2.348 7.061 In
2.348 2.348 4.790 In
2.348 0.000 11.864 In
0.000 2.348 11.864 In
2.348 0.000 2.258 In
0.000 0.000 4.656 Ca
0.000 0.000 9.467 Ca
0.000 0.000 0.000 Mg
```

Output
As for the density of states at the Fermi level: 0.55 states/eV/atom. The value obtained for the energy of formation is -0.226 eV/atom. The calculated volume is 311.5 Å³ per cell.

No. 4
# Ca2MgIn4

A relaxed Ca2MgIn4 crystal (PBE-GGA, Alexandria).

```
Ca2MgIn4
1.0
5.292 0.000 0.000
0.000 5.292 0.000
-2.646 -2.646 8.218
Mg In Ca
1 4 2
Cartesian
0.000 0.000 0.000 Mg
0.000 0.000 2.882 In
2.646 2.646 5.336 In
0.000 2.646 0.000 In
2.646 0.000 0.000 In
2.646 2.646 2.126 Ca
0.000 0.000 6.092 Ca
```

Output
As for the density of states at the Fermi level: 0.57 states/eV/atom. The value obtained for the energy of formation is 0.035 eV/atom. The calculated volume is 230.1 Å³ per cell.

No. 5
# CaMg2In2

A relaxed CaMg2In2 crystal (PBE-GGA, Alexandria).

```
CaMg2In2
1.0
4.529 0.000 0.000
0.000 4.529 0.000
2.265 2.265 6.557
In Ca Mg
2 1 2
Cartesian
4.529 4.529 5.148 In
2.265 2.265 1.409 In
0.000 0.000 0.000 Ca
4.529 2.265 3.279 Mg
2.265 4.529 3.279 Mg
```

Output
As for the density of states at the Fermi level: 0.47 states/eV/atom. The value obtained for the energy of formation is -0.237 eV/atom. The calculated volume is 134.5 Å³ per cell.

No. 6
# CaMg2In2

A relaxed CaMg2In2 crystal (PBE-GGA, Alexandria).

```
CaMg2In2
1.0
5.309 0.734 -1.960
-0.595 5.327 -1.960
-2.042 -2.626 6.238
Mg Ca In
2 1 2
Cartesian
3.140 0.314 1.159 Mg
-0.468 3.121 1.159 Mg
0.000 0.000 0.000 Ca
1.937 2.490 -0.675 In
0.735 0.945 2.992 In
```

Output
As for the density of states at the Fermi level: 0.50 states/eV/atom. The value obtained for the energy of formation is -0.185 eV/atom. The calculated volume is 130.4 Å³ per cell.